Entry from Alexandria: a relaxed structure of Mn2PtF8 (PBE with a Hubbard U).

Output
Total moment = 8.803 μB/cell
DFT total energy = -5.18 eV per atom

abc: 5.0115 5.4299 8.4537
angles: 116.60 90.00 117.48
Each line ends with the local moment (μB).
Fractional positions:
F: 0.4844 0.9687 0.3474  -0.02
F: 0.0786 0.6714 0.8223  0.01
F: 0.5156 0.0313 0.6526  -0.02
F: 0.4072 0.3286 0.1777  0.01
F: 0.8301 0.6603 0.5089  0.00
F: 0.9214 0.3286 0.1777  0.01
F: 0.1699 0.3397 0.4911  0.00
F: 0.5928 0.6714 0.8223  0.01
Mn: 0.3136 0.6272 0.4034  4.16
Mn: 0.6864 0.3728 0.5966  4.16
Pt: 0.0000 0.0000 0.0000  0.19